[1]
Computed, not measured: a geometry-optimized Pr3Mg5 structure at the PBE-GGA level of DFT.

E above lowest polymorph   0.022 eV/atom
DFT formation energy   -62 meV per atom

Cell and atoms, written as CIF:
```
data_Pr3Mg5
_chemical_formula_sum 'Pr6 Mg10'
_cell_length_a 7.723
_cell_length_b 7.723
_cell_length_c 7.723
_cell_angle_alpha 90.00
_cell_angle_beta 90.00
_cell_angle_gamma 90.00
_symmetry_space_group_name_H-M 'I m -3 m'
_symmetry_Int_Tables_number 229
_symmetry_space_group_name_Hall '-I 4 2 3'
loop_
_atom_site_label
_atom_site_type_symbol
_atom_site_fract_x
_atom_site_fract_y
_atom_site_fract_z
Pr1 Pr 0.000 0.000 0.500
Mg1 Mg 0.000 0.000 0.000
Mg2 Mg 0.250 0.250 0.250
```

[2]
Computed, not measured: a geometry-optimized Sr2IrPdO6 structure at the PBE-GGA level of DFT.

ΔE_f (raw)   -1.55 eV per atom

Cell and atoms, written as CIF:
```
data_Sr2IrPdO6
_chemical_formula_sum 'Sr4 Ir2 Pd2 O12'
_cell_length_a 10.741
_cell_length_b 5.448
_cell_length_c 5.118
_cell_angle_alpha 90.00
_cell_angle_beta 110.07
_cell_angle_gamma 90.00
_symmetry_space_group_name_H-M 'C 1 2/m 1'
_symmetry_Int_Tables_number 12
loop_
_symmetry_equiv_pos_as_xyz
'x,y,z'
'-x,-y,-z'
'-x,y,-z'
'x,-y,z'
'x+1/2,y+1/2,z'
'-x+1/2,-y+1/2,-z'
'-x+1/2,y+1/2,-z'
'x+1/2,-y+1/2,z'
loop_
_atom_site_label
_atom_site_type_symbol
_atom_site_fract_x
_atom_site_fract_y
_atom_site_fract_z
Sr1 Sr 0.230 0.000 0.212
Ir1 Ir 0.000 0.500 0.000
Pd1 Pd 0.000 0.000 0.500
O1 O 0.073 0.248 0.811
O2 O 0.174 0.500 0.277
```

[3]
Computed, not measured: a geometry-optimized Li3Mg structure at the PBE-GGA level of DFT.

DFT formation energy   -17 meV per atom

Cell and atoms, written as CIF:
```
data_Li3Mg
_chemical_formula_sum 'Li9 Mg3'
_cell_length_a 3.0881
_cell_length_b 3.0881
_cell_length_c 30.1967
_cell_angle_alpha 90.00
_cell_angle_beta 90.00
_cell_angle_gamma 120.00
_symmetry_space_group_name_H-M 'R -3 m'
_symmetry_Int_Tables_number 166
_symmetry_space_group_name_Hall '-R 3 2"'
loop_
_atom_site_label
_atom_site_type_symbol
_atom_site_fract_x
_atom_site_fract_y
_atom_site_fract_z
Li1 Li 0.0000 0.0000 0.0000
Li2 Li 0.0000 0.0000 0.2512
Mg1 Mg 0.0000 0.0000 0.5000
```

[4]
Computed, not measured: a geometry-optimized BeAlNi3 structure at the PBE-GGA level of DFT.

E above lowest polymorph   0.000 eV/atom
DFT formation energy   -50 meV per atom

Cell and atoms, written as CIF:
```
data_BeAlNi3
_chemical_formula_sum 'Be1 Al1 Ni3'
_cell_length_a 3.865
_cell_length_b 3.865
_cell_length_c 3.865
_cell_angle_alpha 90.00
_cell_angle_beta 90.00
_cell_angle_gamma 90.00
_symmetry_space_group_name_H-M 'P m -3 m'
_symmetry_Int_Tables_number 221
_symmetry_space_group_name_Hall '-P 4 2 3'
loop_
_atom_site_label
_atom_site_type_symbol
_atom_site_fract_x
_atom_site_fract_y
_atom_site_fract_z
Be1 Be 0.000 0.000 0.000
Al1 Al 0.500 0.500 0.500
Ni1 Ni 0.000 0.000 0.500
```

Number 1: spin magnetization 0.0 μB/cell. Number 2: spin magnetization 5.7 μB/cell. Number 3: spin magnetization 0.0 μB/cell. Number 4: spin magnetization 0.0 μB/cell.